Record 1
Here is a geometry-optimized Bi3TeS3 structure from Alexandria. Energies are from GGA-PBE.

Computed properties:
- V (A^3/atom) = 31.69
- formation energy without anion corrections (meV per atom) = -171

a b c (Å): 8.1402 8.1402 9.0471
angles (deg): 63.26 63.26 60.00
Last column: nearest neighbours and their distance in Å.
Atoms (fractional coordinates):
Bi 0.2864 0.4863 0.2930  4 S 2.74-2.99
Bi 0.9344 0.2864 0.2930  4 S 2.74-2.99
Bi 0.4863 0.9344 0.2930  4 S 2.74-2.99
Bi 0.5137 0.0656 0.7070  4 S 2.74-2.99
Bi 0.0656 0.7136 0.7070  4 S 2.74-2.99
Bi 0.7136 0.5137 0.7070  4 S 2.74-2.99
Te 0.3397 0.3397 0.9810  6 Bi 3.32-3.43
Te 0.6603 0.6603 0.0190  6 Bi 3.32-3.43
S 0.3743 0.8290 0.6478  4 Bi 2.74-2.99
S 0.8290 0.1490 0.6478  4 Bi 2.74-2.99
S 0.1490 0.3743 0.6478  4 Bi 2.74-2.99
S 0.8510 0.6258 0.3522  4 Bi 2.74-2.99
S 0.1710 0.8510 0.3522  4 Bi 2.74-2.99
S 0.6258 0.1710 0.3522  4 Bi 2.74-2.99

Record 2
Here is a geometry-optimized SmTmTc4 structure from Alexandria. Energies are from GGA-PBE.

Computed properties:
- V (A^3/atom) = 18.72
- DFT formation energy (eV per atom) = -0.103

a b c (Å): 5.4161 5.4161 5.4161
angles (deg): 60.00 60.00 60.00
Last column: nearest neighbours and their distance in Å.
Atoms (fractional coordinates):
Tm 0.0000 0.0000 0.0000  12 Tc 3.18, 4 Sm 3.32
Tc 0.6251 0.6251 0.1246  6 Tc 2.71
Tc 0.6251 0.1246 0.6251  6 Tc 2.71
Tc 0.6251 0.6251 0.6251  6 Tc 2.71
Tc 0.1246 0.6251 0.6251  6 Tc 2.71
Sm 0.2500 0.2500 0.2500  12 Tc 3.18, 4 Tm 3.32